Entry 1:
Material: MgIn5
Method: DFT, meta-GGA SCAN
State: PBEsol geometry

Values from the calculation:
formation energy	-0.06	eV/f.u.
calculated density	6.7	g/cm³

```
MgIn5
1.0
3.323 0.000 0.000
0.000 3.323 0.000
0.000 0.000 13.335
Mg In
1 5
direct
0.000 0.000 0.000 Mg
0.000 0.000 0.326 In
0.000 0.000 0.674 In
0.500 0.500 0.155 In
0.500 0.500 0.500 In
0.500 0.500 0.845 In
```


Entry 2:
Material: Mg3In
Method: DFT, meta-GGA SCAN
State: PBEsol geometry

Values from the calculation:
formation energy	-0.30	eV/f.u.
calculated density	3.3	g/cm³

```
Mg3In
1.0
4.930 0.000 0.000
-2.465 4.269 0.000
0.000 0.000 8.900
Mg In
6 2
direct
0.000 0.000 0.250 Mg
0.000 0.000 0.750 Mg
0.333 0.667 0.078 Mg
0.333 0.667 0.422 Mg
0.667 0.333 0.578 Mg
0.667 0.333 0.922 Mg
0.333 0.667 0.750 In
0.667 0.333 0.250 In
```


Entry 3:
Material: Mg5In3
Method: DFT, meta-GGA SCAN
State: PBEsol geometry

Values from the calculation:
formation energy	-1.16	eV/f.u.
offset from the most stable computed form	0.023	eV/atom
calculated density	4.2	g/cm³

```
Mg5In3
1.0
7.366 -4.259 0.000
7.366 4.259 0.000
0.000 0.000 5.889
Mg In
10 6
direct
0.000 0.232 0.750 Mg
0.000 0.768 0.250 Mg
0.232 0.000 0.250 Mg
0.233 0.767 0.750 Mg
0.333 0.333 0.000 Mg
0.333 0.333 0.500 Mg
0.667 0.667 0.000 Mg
0.667 0.667 0.500 Mg
0.767 0.233 0.250 Mg
0.768 0.000 0.750 Mg
0.000 0.400 0.250 In
0.000 0.600 0.750 In
0.400 0.000 0.750 In
0.400 0.600 0.250 In
0.600 0.000 0.250 In
0.600 0.400 0.750 In
```